Compound: KTiTl3
Source: Alexandria
Functional: PBE-GGA
Structure: relaxed

Geometry as CIF:
```
data_KTiTl3
_space_group_name_H-M_alt 'P m -3 m'
_space_group_IT_number 221
_space_group_name_Hall '-P 4 2 3'
_cell_length_a 5.7713
_cell_length_b 5.7713
_cell_length_c 5.7713
_cell_angle_alpha 90.00
_cell_angle_beta 90.00
_cell_angle_gamma 90.00
loop_
_atom_site_label
_atom_site_fract_x
_atom_site_fract_y
_atom_site_fract_z
K1 0.0000 0.0000 0.0000
Ti1 0.5000 0.5000 0.5000
Tl1 0.0000 0.0000 0.5000
```

Summary:
Total energy (eV/atom): -1.913
Polymorph energy (0 for the lowest one) (eV per atom): 1.147


Compound: KTiTl
Source: Alexandria
Functional: PBE-GGA
Structure: relaxed

Geometry as CIF:
```
data_KTiTl
_space_group_name_H-M_alt 'P n m a'
_space_group_IT_number 62
_space_group_name_Hall '-P 2ac 2n'
_cell_length_a 13.1604
_cell_length_b 6.0892
_cell_length_c 4.9667
_cell_angle_alpha 90.00
_cell_angle_beta 90.00
_cell_angle_gamma 90.00
loop_
_atom_site_label
_atom_site_fract_x
_atom_site_fract_y
_atom_site_fract_z
K1 0.2359 0.2500 0.0073
Ti1 0.0246 0.7500 0.0002
Tl1 0.0000 0.0000 0.5000
```

Summary:
Total energy (eV/atom): -3.407
Polymorph energy (0 for the lowest one) (eV per atom): 0.258


Compound: KTiTl
Source: Alexandria
Functional: PBE-GGA
Structure: relaxed

Geometry as CIF:
```
data_KTiTl
_space_group_name_H-M_alt 'F -4 3 m'
_space_group_IT_number 216
_space_group_name_Hall 'F -4 2 3'
_cell_length_a 7.3919
_cell_length_b 7.3919
_cell_length_c 7.3919
_cell_angle_alpha 90.00
_cell_angle_beta 90.00
_cell_angle_gamma 90.00
loop_
_atom_site_label
_atom_site_fract_x
_atom_site_fract_y
_atom_site_fract_z
K1 0.0000 0.0000 0.0000
Ti1 0.0000 0.0000 0.5000
Tl1 0.2500 0.2500 0.2500
```

Summary:
Total energy (eV/atom): -2.837
Polymorph energy (0 for the lowest one) (eV per atom): 0.829


In the order shown, the computed calculated formation energy values come out to 1305, 379, 949 meV/atom.